Below is an optimized crystal structure of SmNi5B3, with properties calculated at the PBE level.

For the formation energy, the calculation gives -0.346 eV/atom. The calculated density comes out at 7.90 Mg/m³.

The space group is Cmcm (No. 63) and the conventional cell measures 3.431, 10.802 and 10.812 Å, with angles of 90.00, 90.00 and 90.00 degrees. The asymmetric unit holds Sm at (0.000, 0.156, 0.250), Ni at (0.000, 0.000, 0.000), Ni at (0.000, 0.205, 0.568), Ni at (0.000, 0.442, 0.144), B at (0.000, 0.111, 0.750) and B at (0.000, 0.387, 0.535).

Below is an optimized crystal structure of SmNi2B2, with properties calculated at the PBE level.

For the formation energy, the calculation gives -0.513 eV/atom. The calculated density comes out at 7.62 Mg/m³.

The space group is C2/c (No. 15) and the conventional cell measures 8.490, 5.434 and 6.842 Å, with angles of 90.00, 127.00 and 90.00 degrees. The asymmetric unit holds Sm at (0.000, 0.119, 0.250), Ni at (0.125, 0.406, 0.700) and B at (0.172, 0.324, 0.026).

Below is an optimized crystal structure of SmNi12B6, with properties calculated at the PBE level.

For the formation energy, the calculation gives -0.397 eV/atom. The calculated density comes out at 7.84 Mg/m³.

The space group is Cmc2_1 (No. 36) and the conventional cell measures 9.578, 7.382 and 11.021 Å, with angles of 90.00, 90.00 and 90.00 degrees. The asymmetric unit holds Sm at (0.000, 0.167, 0.000), Ni at (0.000, 0.219, 0.398), Ni at (0.000, 0.432, 0.581), Ni at (0.132, 0.013, 0.243), Ni at (0.132, 0.326, 0.764), Ni at (0.132, 0.343, 0.222), Ni at (0.183, 0.186, 0.561), Ni at (0.192, 0.465, 0.430), B at (0.000, 0.164, 0.661), B at (0.000, 0.487, 0.340), B at (0.206, 0.193, 0.376) and B at (0.215, 0.459, 0.613).